18
Lattice="3.056 0.000 0.000 0.000 4.709 0.000 0.000 0.000 13.947" Properties=species:S:1:pos:R:3 comment="Fe3O4F2 PBE+U relaxed" relative_energy_mev_per_atom=24.6 final_energy_ev_per_cell=-109.3 spacegroup="Pnnm (58)" mass_density_g_cm3=4.5 pbc="T T T"
Fe 1.528 4.422 9.418
Fe 1.528 0.000 0.000
Fe 1.528 0.287 4.528
Fe 0.000 2.068 11.502
Fe 0.000 2.641 2.445
Fe 0.000 2.354 6.973
O 0.000 0.797 13.023
O 0.000 1.141 3.710
O 1.528 1.213 10.683
O 1.528 1.558 6.050
O 1.528 3.496 3.264
O 1.528 3.151 7.897
O 0.000 3.567 10.237
O 0.000 3.912 0.923
F 0.000 0.746 8.364
F 1.528 1.609 1.391
F 1.528 3.100 12.556
F 0.000 3.963 5.583